# 1
Compound: Hf2SbCCl
Source: Alexandria via LeMat-Bulk
Functional: PBE
Structure: relaxed

The structure in CIF format:
```
data_Hf2SbCCl
_chemical_formula_sum 'Hf2 Sb1 C1 Cl1'
_space_group_name_H-M_alt 'P 1'
_space_group_IT_number 1
_cell_length_a 4.645
_cell_length_b 4.645
_cell_length_c 5.273
_cell_angle_alpha 90.00
_cell_angle_beta 90.00
_cell_angle_gamma 90.00
loop_
_space_group_symop_operation_xyz
'x,y,z'
loop_
_atom_site_label
_atom_site_type_symbol
_atom_site_fract_x
_atom_site_fract_y
_atom_site_fract_z
_atom_site_occupancy
Hf1 Hf 0.000 0.500 0.000 1
Hf2 Hf 0.500 0.000 0.000 1
Sb1 Sb 0.000 0.000 0.500 1
C1 C 0.500 0.500 0.500 1
Cl1 Cl 0.000 0.000 0.000 1
```

Final energy (eV/cell): -26.35
Symmetry: No. 123



# 2
Compound: NaReSnB2
Source: Alexandria via LeMat-Bulk
Functional: PBE
Structure: relaxed

The structure in CIF format:
```
data_NaReSnB2
_chemical_formula_sum 'Na1 Re1 Sn1 B2'
_space_group_name_H-M_alt 'P 1'
_space_group_IT_number 1
_cell_length_a 4.560
_cell_length_b 4.560
_cell_length_c 5.285
_cell_angle_alpha 90.00
_cell_angle_beta 90.00
_cell_angle_gamma 90.00
loop_
_space_group_symop_operation_xyz
'x,y,z'
loop_
_atom_site_label
_atom_site_type_symbol
_atom_site_fract_x
_atom_site_fract_y
_atom_site_fract_z
_atom_site_occupancy
Na1 Na 0.000 0.000 0.000 1
Re1 Re 0.500 0.500 0.000 1
Sn1 Sn 0.500 0.500 0.500 1
B1 B 0.000 0.500 0.500 1
B2 B 0.500 0.000 0.500 1
```

Formation energy (kJ per mole of atoms): 217.9
Symmetry: No. 123



# 3
Compound: CrNi2Cl
Source: Alexandria via LeMat-Bulk
Functional: PBE
Structure: relaxed

The structure in CIF format:
```
data_CrNi2Cl
_chemical_formula_sum 'Cr1 Ni2 Cl1'
_space_group_name_H-M_alt 'P 1'
_space_group_IT_number 1
_cell_length_a 8.164
_cell_length_b 8.164
_cell_length_c 8.164
_cell_angle_alpha 19.39
_cell_angle_beta 19.39
_cell_angle_gamma 19.39
loop_
_space_group_symop_operation_xyz
'x,y,z'
loop_
_atom_site_label
_atom_site_type_symbol
_atom_site_fract_x
_atom_site_fract_y
_atom_site_fract_z
_atom_site_occupancy
Cr1 Cr 0.000 0.000 0.000 1
Ni1 Ni 0.253 0.253 0.253 1
Ni2 Ni 0.506 0.506 0.506 1
Cl1 Cl 0.736 0.736 0.736 1
```

Final energy (eV/cell): -21.71
Symmetry: No. 160



# 4
Compound: Cs2BeCuBr6
Source: Alexandria via LeMat-Bulk
Functional: PBE
Structure: relaxed

The structure in CIF format:
```
data_Cs2BeCuBr6
_chemical_formula_sum 'Cs2 Be1 Cu1 Br6'
_space_group_name_H-M_alt 'P 1'
_space_group_IT_number 1
_cell_length_a 7.826
_cell_length_b 7.826
_cell_length_c 7.826
_cell_angle_alpha 122.45
_cell_angle_beta 122.45
_cell_angle_gamma 85.80
loop_
_space_group_symop_operation_xyz
'x,y,z'
loop_
_atom_site_label
_atom_site_type_symbol
_atom_site_fract_x
_atom_site_fract_y
_atom_site_fract_z
_atom_site_occupancy
Cs1 Cs 0.250 0.750 0.500 1
Cs2 Cs 0.750 0.250 0.500 1
Be1 Be 0.000 0.000 0.000 1
Cu1 Cu 0.500 0.500 0.000 1
Br1 Br 0.217 0.217 0.434 1
Br2 Br 0.217 0.783 0.000 1
Br3 Br 0.298 0.298 0.000 1
Br4 Br 0.702 0.702 0.000 1
Br5 Br 0.783 0.217 0.000 1
Br6 Br 0.783 0.783 0.566 1
```

Final energy (eV/cell): -29.33
Symmetry: No. 139



# 5
Compound: NbV3S4
Source: Alexandria via LeMat-Bulk
Functional: PBE
Structure: relaxed

The structure in CIF format:
```
data_NbV3S4
_chemical_formula_sum 'Nb2 V6 S8'
_space_group_name_H-M_alt 'P 1'
_space_group_IT_number 1
_cell_length_a 6.432
_cell_length_b 6.442
_cell_length_c 6.287
_cell_angle_alpha 90.00
_cell_angle_beta 90.00
_cell_angle_gamma 90.00
loop_
_space_group_symop_operation_xyz
'x,y,z'
loop_
_atom_site_label
_atom_site_type_symbol
_atom_site_fract_x
_atom_site_fract_y
_atom_site_fract_z
_atom_site_occupancy
Nb1 Nb 0.000 0.217 0.000 1
Nb2 Nb 0.500 0.783 0.500 1
V1 V 0.000 0.727 0.501 1
V2 V 0.229 0.846 0.866 1
V3 V 0.271 0.154 0.366 1
V4 V 0.500 0.273 0.001 1
V5 V 0.729 0.154 0.366 1
V6 V 0.771 0.846 0.866 1
S1 S 0.000 0.388 0.357 1
S2 S 0.000 0.575 0.836 1
S3 S 0.226 0.827 0.235 1
S4 S 0.274 0.173 0.735 1
S5 S 0.500 0.425 0.336 1
S6 S 0.500 0.612 0.857 1
S7 S 0.726 0.173 0.735 1
S8 S 0.774 0.827 0.235 1
```

Final energy (eV/cell): -118.45
Symmetry: No. 31



# 6
Compound: ThSc3Zn2
Source: Alexandria via LeMat-Bulk
Functional: PBE
Structure: relaxed

The structure in CIF format:
```
data_ThSc3Zn2
_chemical_formula_sum 'Th1 Sc3 Zn2'
_space_group_name_H-M_alt 'P 1'
_space_group_IT_number 1
_cell_length_a 3.381
_cell_length_b 3.381
_cell_length_c 11.463
_cell_angle_alpha 90.00
_cell_angle_beta 90.00
_cell_angle_gamma 90.00
loop_
_space_group_symop_operation_xyz
'x,y,z'
loop_
_atom_site_label
_atom_site_type_symbol
_atom_site_fract_x
_atom_site_fract_y
_atom_site_fract_z
_atom_site_occupancy
Th1 Th 0.000 0.000 0.000 1
Sc1 Sc 0.500 0.500 0.210 1
Sc2 Sc 0.500 0.500 0.500 1
Sc3 Sc 0.500 0.500 0.790 1
Zn1 Zn 0.000 0.000 0.356 1
Zn2 Zn 0.000 0.000 0.644 1
```

Formation energy (kJ per mole of atoms): -23.9
Symmetry: No. 123



# 7
Compound: Pr4BiHPb
Source: Alexandria via LeMat-Bulk
Functional: PBE
Structure: relaxed

The structure in CIF format:
```
data_Pr4BiHPb
_chemical_formula_sum 'Pr8 Bi2 H2 Pb2'
_space_group_name_H-M_alt 'P 1'
_space_group_IT_number 1
_cell_length_a 9.716
_cell_length_b 9.716
_cell_length_c 6.643
_cell_angle_alpha 90.00
_cell_angle_beta 90.00
_cell_angle_gamma 140.06
loop_
_space_group_symop_operation_xyz
'x,y,z'
loop_
_atom_site_label
_atom_site_type_symbol
_atom_site_fract_x
_atom_site_fract_y
_atom_site_fract_z
_atom_site_occupancy
Pr1 Pr 0.000 0.500 0.000 1
Pr2 Pr 0.000 0.500 0.500 1
Pr3 Pr 0.070 0.930 0.750 1
Pr4 Pr 0.427 0.573 0.750 1
Pr5 Pr 0.500 0.000 0.000 1
Pr6 Pr 0.500 0.000 0.500 1
Pr7 Pr 0.573 0.427 0.250 1
Pr8 Pr 0.930 0.070 0.250 1
Bi1 Bi 0.389 0.611 0.250 1
Bi2 Bi 0.611 0.389 0.750 1
H1 H 0.294 0.706 0.750 1
H2 H 0.706 0.294 0.250 1
Pb1 Pb 0.110 0.890 0.250 1
Pb2 Pb 0.890 0.110 0.750 1
```

Final energy (eV/cell): -68.75
Symmetry: No. 63



# 8
Compound: Th2Ga3Pt4
Source: Alexandria via LeMat-Bulk
Functional: PBE
Structure: relaxed

The structure in CIF format:
```
data_Th2Ga3Pt4
_chemical_formula_sum 'Th4 Ga6 Pt8'
_space_group_name_H-M_alt 'P 1'
_space_group_IT_number 1
_cell_length_a 8.369
_cell_length_b 8.369
_cell_length_c 7.698
_cell_angle_alpha 90.00
_cell_angle_beta 90.00
_cell_angle_gamma 139.97
loop_
_space_group_symop_operation_xyz
'x,y,z'
loop_
_atom_site_label
_atom_site_type_symbol
_atom_site_fract_x
_atom_site_fract_y
_atom_site_fract_z
_atom_site_occupancy
Th1 Th 0.111 0.889 0.912 1
Th2 Th 0.389 0.611 0.412 1
Th3 Th 0.611 0.389 0.588 1
Th4 Th 0.889 0.111 0.088 1
Ga1 Ga 0.000 0.000 0.500 1
Ga2 Ga 0.026 0.474 0.750 1
Ga3 Ga 0.474 0.026 0.250 1
Ga4 Ga 0.500 0.500 0.000 1
Ga5 Ga 0.526 0.974 0.750 1
Ga6 Ga 0.974 0.526 0.250 1
Pt1 Pt 0.184 0.816 0.530 1
Pt2 Pt 0.195 0.305 0.750 1
Pt3 Pt 0.305 0.195 0.250 1
Pt4 Pt 0.316 0.684 0.030 1
Pt5 Pt 0.684 0.316 0.970 1
Pt6 Pt 0.695 0.805 0.750 1
Pt7 Pt 0.805 0.695 0.250 1
Pt8 Pt 0.816 0.184 0.470 1
```

Formation energy (kJ per mole of atoms): -94.6
Symmetry: No. 64



# 9
Compound: InFeIr2
Source: Alexandria via LeMat-Bulk
Functional: PBE
Structure: relaxed

The structure in CIF format:
```
data_InFeIr2
_chemical_formula_sum 'In1 Fe1 Ir2'
_space_group_name_H-M_alt 'P 1'
_space_group_IT_number 1
_cell_length_a 5.327
_cell_length_b 5.327
_cell_length_c 5.327
_cell_angle_alpha 147.06
_cell_angle_beta 130.37
_cell_angle_gamma 60.86
loop_
_space_group_symop_operation_xyz
'x,y,z'
loop_
_atom_site_label
_atom_site_type_symbol
_atom_site_fract_x
_atom_site_fract_y
_atom_site_fract_z
_atom_site_occupancy
In1 In 0.000 0.000 0.000 1
Fe1 Fe 0.751 0.251 0.500 1
Ir1 Ir 0.259 0.759 0.500 1
Ir2 Ir 0.523 0.523 0.000 1
```

Formation energy (kJ per mole of atoms): 17.6
Symmetry: No. 44



# 10
Compound: Cs3GeAu
Source: Alexandria via LeMat-Bulk
Functional: PBE
Structure: relaxed

The structure in CIF format:
```
data_Cs3GeAu
_chemical_formula_sum 'Cs6 Ge2 Au2'
_space_group_name_H-M_alt 'P 1'
_space_group_IT_number 1
_cell_length_a 8.192
_cell_length_b 8.192
_cell_length_c 9.701
_cell_angle_alpha 114.33
_cell_angle_beta 114.33
_cell_angle_gamma 87.98
loop_
_space_group_symop_operation_xyz
'x,y,z'
loop_
_atom_site_label
_atom_site_type_symbol
_atom_site_fract_x
_atom_site_fract_y
_atom_site_fract_z
_atom_site_occupancy
Cs1 Cs 0.058 0.459 0.782 1
Cs2 Cs 0.100 0.100 0.286 1
Cs3 Cs 0.459 0.058 0.782 1
Cs4 Cs 0.541 0.942 0.218 1
Cs5 Cs 0.900 0.900 0.714 1
Cs6 Cs 0.942 0.541 0.218 1
Ge1 Ge 0.483 0.483 0.611 1
Ge2 Ge 0.517 0.517 0.389 1
Au1 Au 0.281 0.281 0.095 1
Au2 Au 0.719 0.719 0.905 1
```

Formation energy (kJ per mole of atoms): -6.8
Symmetry: No. 12



# 11
Compound: Tl4Cu3F10
Source: Alexandria via LeMat-Bulk
Functional: PBE
Structure: relaxed

The structure in CIF format:
```
data_Tl4Cu3F10
_chemical_formula_sum 'Tl4 Cu3 F10'
_space_group_name_H-M_alt 'P 1'
_space_group_IT_number 1
_cell_length_a 15.648
_cell_length_b 15.648
_cell_length_c 15.648
_cell_angle_alpha 164.72
_cell_angle_beta 164.72
_cell_angle_gamma 21.67
loop_
_space_group_symop_operation_xyz
'x,y,z'
loop_
_atom_site_label
_atom_site_type_symbol
_atom_site_fract_x
_atom_site_fract_y
_atom_site_fract_z
_atom_site_occupancy
Tl1 Tl 0.068 0.068 0.000 1
Tl2 Tl 0.202 0.202 0.000 1
Tl3 Tl 0.798 0.798 0.000 1
Tl4 Tl 0.932 0.932 0.000 1
Cu1 Cu 0.364 0.364 0.000 1
Cu2 Cu 0.500 0.500 0.000 1
Cu3 Cu 0.636 0.636 0.000 1
F1 F 0.000 0.500 0.500 1
F2 F 0.137 0.637 0.500 1
F3 F 0.300 0.300 0.000 1
F4 F 0.363 0.863 0.500 1
F5 F 0.429 0.429 0.000 1
F6 F 0.500 0.000 0.500 1
F7 F 0.571 0.571 0.000 1
F8 F 0.637 0.137 0.500 1
F9 F 0.700 0.700 0.000 1
F10 F 0.863 0.363 0.500 1
```

Final energy (eV/cell): -68.79
Symmetry: No. 139



# 12
Compound: Al9Co2Ni
Source: Alexandria via LeMat-Bulk
Functional: PBE
Structure: relaxed

The structure in CIF format:
```
data_Al9Co2Ni
_chemical_formula_sum 'Al36 Co8 Ni4'
_space_group_name_H-M_alt 'P 1'
_space_group_IT_number 1
_cell_length_a 10.501
_cell_length_b 10.501
_cell_length_c 10.501
_cell_angle_alpha 137.94
_cell_angle_beta 110.11
_cell_angle_gamma 85.05
loop_
_space_group_symop_operation_xyz
'x,y,z'
loop_
_atom_site_label
_atom_site_type_symbol
_atom_site_fract_x
_atom_site_fract_y
_atom_site_fract_z
_atom_site_occupancy
Al1 Al 0.000 0.000 0.000 1
Al2 Al 0.047 0.872 0.174 1
Al3 Al 0.076 0.414 0.662 1
Al4 Al 0.099 0.363 0.264 1
Al5 Al 0.099 0.834 0.736 1
Al6 Al 0.100 0.559 0.167 1
Al7 Al 0.100 0.933 0.541 1
Al8 Al 0.248 0.586 0.662 1
Al9 Al 0.250 0.250 0.000 1
Al10 Al 0.256 0.211 0.645 1
Al11 Al 0.256 0.611 0.045 1
Al12 Al 0.302 0.128 0.174 1
Al13 Al 0.332 0.000 0.332 1
Al14 Al 0.365 0.865 0.500 1
Al15 Al 0.392 0.559 0.459 1
Al16 Al 0.392 0.933 0.833 1
Al17 Al 0.434 0.389 0.645 1
Al18 Al 0.434 0.789 0.045 1
Al19 Al 0.500 0.500 0.000 1
Al20 Al 0.566 0.211 0.955 1
Al21 Al 0.566 0.611 0.355 1
Al22 Al 0.608 0.067 0.167 1
Al23 Al 0.608 0.441 0.541 1
Al24 Al 0.635 0.135 0.500 1
Al25 Al 0.668 0.000 0.668 1
Al26 Al 0.698 0.872 0.826 1
Al27 Al 0.744 0.389 0.955 1
Al28 Al 0.744 0.789 0.355 1
Al29 Al 0.750 0.750 0.000 1
Al30 Al 0.752 0.414 0.338 1
Al31 Al 0.900 0.067 0.459 1
Al32 Al 0.900 0.441 0.833 1
Al33 Al 0.901 0.166 0.264 1
Al34 Al 0.901 0.637 0.736 1
Al35 Al 0.924 0.586 0.338 1
Al36 Al 0.953 0.128 0.826 1
Co1 Co 0.169 0.206 0.375 1
Co2 Co 0.169 0.794 0.962 1
Co3 Co 0.199 0.699 0.500 1
Co4 Co 0.500 0.186 0.686 1
Co5 Co 0.500 0.814 0.314 1
Co6 Co 0.801 0.301 0.500 1
Co7 Co 0.831 0.206 0.038 1
Co8 Co 0.831 0.794 0.625 1
Ni1 Ni 0.100 0.288 0.812 1
Ni2 Ni 0.476 0.288 0.188 1
Ni3 Ni 0.524 0.712 0.812 1
Ni4 Ni 0.900 0.712 0.188 1
```

Formation energy (kJ per mole of atoms): -38.6
Symmetry: No. 71



What Fermi-level density of states values result from the calculations? In sequence: 5.007 3.416 7.378 10.927 10.635 4.228 16.844 9.317 3.254 6.129 4.710 16.881 states/eV/cell.
What size of the total moment values result from the calculations? In sequence: 0.00 0.59 0.38 0.00 0.00 0.00 0.00 0.00 0.91 0.04 0.16 0.00 μB per atom.